1.
Compound: NiIrSe2
Source: Alexandria via LeMat-Bulk
Functional: PBE
Structure: optimized geometry

Space-group type: No. 122
Uncorrected energy in eV/cell: -43.1

a b c (Å): 6.7094 6.7094 6.7094
angles (deg): 132.25 132.25 69.83
Positions (direct):
1 Ni 0.0000 0.0000 0.0000
2 Ni 0.7500 0.2500 0.5000
3 Ir 0.2500 0.7500 0.5000
4 Ir 0.5000 0.5000 0.0000
5 Se 0.1114 0.6250 0.9864
6 Se 0.3750 0.3614 0.4864
7 Se 0.6386 0.1250 0.0136
8 Se 0.8750 0.8886 0.5136

2.
Compound: La6CoPb3
Source: Alexandria via LeMat-Bulk
Functional: PBE
Structure: optimized geometry

Space-group type: No. 36
E_form in meV/atom: -253.6

a b c (Å): 9.8180 9.8180 7.7056
angles (deg): 90.00 90.00 104.54
Positions (direct):
1 La 0.0113 0.9887 0.5000
2 La 0.0695 0.6144 0.6104
3 La 0.2244 0.7756 0.0527
4 La 0.3379 0.3831 0.0414
5 La 0.3831 0.3379 0.5414
6 La 0.3856 0.9305 0.6104
7 La 0.6144 0.0695 0.1104
8 La 0.6169 0.6621 0.0414
9 La 0.6621 0.6169 0.5414
10 La 0.7756 0.2244 0.5527
11 La 0.9305 0.3856 0.1104
12 La 0.9887 0.0113 0.0000
13 Co 0.1416 0.8584 0.7496
14 Co 0.8584 0.1416 0.2496
15 Pb 0.0866 0.2977 0.7521
16 Pb 0.2977 0.0866 0.2521
17 Pb 0.3619 0.6381 0.3581
18 Pb 0.6381 0.3619 0.8581
19 Pb 0.7023 0.9134 0.7521
20 Pb 0.9134 0.7023 0.2521

3.
Compound: CaSmEr2As4
Source: Alexandria via LeMat-Bulk
Functional: PBE
Structure: optimized geometry

Space-group type: No. 10
E_form in meV/atom: -1361.3

a b c (Å): 7.1870 4.1422 7.2280
angles (deg): 90.00 109.27 90.00
Positions (direct):
1 Ca 0.0000 0.0000 0.0000
2 Sm 0.5000 0.5000 0.0000
3 Er 0.0000 0.5000 0.5000
4 Er 0.5000 0.0000 0.5000
5 As 0.2481 0.0000 0.7403
6 As 0.2561 0.5000 0.2619
7 As 0.7439 0.5000 0.7381
8 As 0.7519 0.0000 0.2597

4.
Compound: Y5HoMg
Source: Alexandria via LeMat-Bulk
Functional: PBE
Structure: optimized geometry

Space-group type: No. 15
E_form in meV/atom: 164.2

a b c (Å): 6.7440 6.7440 11.8528
angles (deg): 102.55 102.55 58.11
Positions (direct):
1 Y 0.0263 0.5126 0.2111
2 Y 0.0583 0.9417 0.7500
3 Y 0.2044 0.7079 0.0179
4 Y 0.2921 0.7956 0.4821
5 Y 0.4874 0.9737 0.2889
6 Y 0.5126 0.0263 0.7111
7 Y 0.7079 0.2044 0.5179
8 Y 0.7956 0.2921 0.9821
9 Y 0.9417 0.0583 0.2500
10 Y 0.9737 0.4874 0.7889
11 Ho 0.0000 0.5000 0.5000
12 Ho 0.5000 0.0000 0.0000
13 Mg 0.4962 0.5038 0.7500
14 Mg 0.5038 0.4962 0.2500

5.
Compound: CrTeBr2
Source: Alexandria via LeMat-Bulk
Functional: PBE
Structure: optimized geometry

Space-group type: No. 47
Uncorrected energy in eV/cell: -15.3

a b c (Å): 3.5493 4.6437 6.4914
angles (deg): 90.00 90.00 90.00
Positions (direct):
1 Cr 0.0000 0.0000 0.0000
2 Te 0.5000 0.0000 0.5000
3 Br 0.0000 0.5000 0.5000
4 Br 0.5000 0.5000 0.0000

6.
Compound: Li3CdSb2
Source: Alexandria via LeMat-Bulk
Functional: PBE
Structure: optimized geometry

Space-group type: No. 72
Uncorrected energy in eV/cell: -33.4

a b c (Å): 8.3106 8.3106 8.3106
angles (deg): 133.15 68.62 132.89
Positions (direct):
1 Li 0.0220 0.7500 0.2720
2 Li 0.2500 0.2500 0.0000
3 Li 0.4780 0.7500 0.7280
4 Li 0.5220 0.2500 0.2720
5 Li 0.7500 0.7500 0.0000
6 Li 0.9780 0.2500 0.7280
7 Cd 0.0000 0.5000 0.5000
8 Cd 0.5000 0.0000 0.5000
9 Sb 0.1383 0.2026 0.3409
10 Sb 0.3617 0.7026 0.0644
11 Sb 0.6383 0.2974 0.9356
12 Sb 0.8617 0.7974 0.6591

7.
Compound: Cd2Cl
Source: Alexandria via LeMat-Bulk
Functional: PBE
Structure: optimized geometry

Space-group type: No. 139
Uncorrected energy in eV/cell: -4.6

a b c (Å): 6.3184 6.3184 6.3184
angles (deg): 147.95 147.95 45.95
Positions (direct):
1 Cd 0.1732 0.1732 0.0000
2 Cd 0.8268 0.8268 0.0000
3 Cl 0.5000 0.5000 0.0000

8.
Compound: NaBe3Rh
Source: Alexandria via LeMat-Bulk
Functional: PBE
Structure: optimized geometry

Space-group type: No. 221
E_form in meV/atom: 189.5

a b c (Å): 4.2902 4.2902 4.2902
angles (deg): 90.00 90.00 90.00
Positions (direct):
1 Na 0.0000 0.0000 0.0000
2 Be 0.0000 0.5000 0.5000
3 Be 0.5000 0.0000 0.5000
4 Be 0.5000 0.5000 0.0000
5 Rh 0.5000 0.5000 0.5000

9.
Compound: ScTlInHg
Source: Alexandria via LeMat-Bulk
Functional: PBE
Structure: optimized geometry

Space-group type: No. 216
E_form in meV/atom: -55.8

a b c (Å): 5.1633 5.1633 5.1633
angles (deg): 60.00 60.00 60.00
Positions (direct):
1 Sc 0.0000 0.0000 0.0000
2 Tl 0.2500 0.2500 0.2500
3 In 0.5000 0.5000 0.5000
4 Hg 0.7500 0.7500 0.7500

10.
Compound: Pu3Pt7Au2
Source: Alexandria via LeMat-Bulk
Functional: PBE
Structure: optimized geometry

Space-group type: No. 166
E_form in meV/atom: -636.6

a b c (Å): 9.4669 9.4669 9.4669
angles (deg): 33.63 33.63 33.63
Positions (direct):
1 Pu 0.0000 0.0000 0.0000
2 Pu 0.1416 0.1416 0.1416
3 Pu 0.8584 0.8584 0.8584
4 Pt 0.0821 0.5888 0.5888
5 Pt 0.4112 0.4112 0.9179
6 Pt 0.4112 0.9179 0.4112
7 Pt 0.5000 0.5000 0.5000
8 Pt 0.5888 0.0821 0.5888
9 Pt 0.5888 0.5888 0.0821
10 Pt 0.9179 0.4112 0.4112
11 Au 0.3333 0.3333 0.3333
12 Au 0.6667 0.6667 0.6667

11.
Compound: AcCd2SnAu4
Source: Alexandria via LeMat-Bulk
Functional: PBE
Structure: optimized geometry

Space-group type: No. 166
E_form in meV/atom: -392.2

a b c (Å): 10.1205 10.1205 10.1205
angles (deg): 27.02 27.02 27.02
Positions (direct):
1 Ac 0.0000 0.0000 0.0000
2 Cd 0.2441 0.2441 0.2441
3 Cd 0.7559 0.7559 0.7559
4 Sn 0.5000 0.5000 0.5000
5 Au 0.1250 0.1250 0.1250
6 Au 0.3936 0.3936 0.3936
7 Au 0.6064 0.6064 0.6064
8 Au 0.8750 0.8750 0.8750

12.
Compound: Rb3YGe
Source: Alexandria via LeMat-Bulk
Functional: PBE
Structure: optimized geometry

Space-group type: No. 221
E_form in meV/atom: 1229.5

a b c (Å): 7.5383 7.5383 7.5383
angles (deg): 90.00 90.00 90.00
Positions (direct):
1 Rb 0.0000 0.0000 0.5000
2 Rb 0.0000 0.5000 0.0000
3 Rb 0.5000 0.0000 0.0000
4 Y 0.0000 0.0000 0.0000
5 Ge 0.5000 0.5000 0.5000

Number 1: magnetic moment 0.00 μB/f.u.. Number 2: magnetic moment 0.00 μB/f.u.. Number 3: magnetic moment 0.00 μB/f.u.. Number 4: magnetic moment 0.00 μB/f.u.. Number 5: magnetic moment 4.54 μB/f.u.. Number 6: magnetic moment 0.00 μB/f.u.. Number 7: magnetic moment 0.00 μB/f.u.. Number 8: magnetic moment 0.00 μB/f.u.. Number 9: magnetic moment 0.00 μB/f.u.. Number 10: magnetic moment 15.52 μB/f.u.. Number 11: magnetic moment 0.00 μB/f.u.. Number 12: magnetic moment 5.10 μB/f.u..